VASP calculation (PBE with a Hubbard U) on crystalline NiSb2IF at its relaxed geometry.

```
NiSb2IF
1.0
-4.1964 1.7509 -0.8583
-0.9904 -0.1594 4.5172
2.1057 5.3659 0.6510
I Sb F Ni
1 2 1 1
Cartesian
1.0528 2.6829 0.3255
-0.4952 -0.0797 2.2586
-2.0982 0.8754 -0.4291
0.0000 0.0000 0.0000
-1.5405 3.4787 2.1550
```

Output
Crystal system: tetragonal
Offset from the most stable computed form (eV/atom): 0.3832